No. 1
# DyZrNb4

A geometry-optimized DyZrNb4 structure (PBE-GGA, Alexandria).

Results
D(E_F) (states/eV per cell): 11.1
Crystal system: cubic
DFT formation energy (eV/atom): 0.13
Magnetization (μB/cell): 0.00

Unit cell a=5.6399 b=5.6399 c=5.6399 alpha=60.00 beta=60.00 gamma=60.00
Last column: nearest neighbours and their distance in Å.
Fractional coordinates of all 6 atoms:
Dy (0.0000, 0.0000, 0.0000)  12 Nb 3.31, 4 Zr 3.45
Zr (0.7500, 0.7500, 0.7500)  12 Nb 3.31, 4 Dy 3.45
Nb (0.3749, 0.3749, 0.3749)  6 Nb 2.82
Nb (0.3749, 0.3749, 0.8752)  6 Nb 2.82
Nb (0.3749, 0.8752, 0.3749)  6 Nb 2.82
Nb (0.8752, 0.3749, 0.3749)  6 Nb 2.82

=====

No. 2
# NdDy6

A geometry-optimized NdDy6 structure (PBE-GGA, Alexandria).

Results
D(E_F) (states/eV per cell): 12.9
Crystal system: cubic
DFT formation energy (eV/atom): 1.39
Magnetization (μB/cell): 0.00

Unit cell a=8.0386 b=8.0386 c=8.0386 alpha=90.00 beta=90.00 gamma=90.00
Last column: nearest neighbours and their distance in Å.
Fractional coordinates of all 14 atoms:
Nd (0.0000, 0.0000, 0.0000)  24 Dy 4.49
Nd (0.5000, 0.5000, 0.5000)  24 Dy 4.49
Dy (0.0000, 0.2500, 0.5000)  4 Dy 2.84
Dy (0.0000, 0.5000, 0.2500)  4 Dy 2.84
Dy (0.0000, 0.5000, 0.7500)  4 Dy 2.84
Dy (0.0000, 0.7500, 0.5000)  4 Dy 2.84
Dy (0.2500, 0.0000, 0.5000)  4 Dy 2.84
Dy (0.2500, 0.5000, 0.0000)  4 Dy 2.84
Dy (0.5000, 0.0000, 0.2500)  4 Dy 2.84
Dy (0.5000, 0.0000, 0.7500)  4 Dy 2.84
Dy (0.5000, 0.2500, 0.0000)  4 Dy 2.84
Dy (0.5000, 0.7500, 0.0000)  4 Dy 2.84
Dy (0.7500, 0.0000, 0.5000)  4 Dy 2.84
Dy (0.7500, 0.5000, 0.0000)  4 Dy 2.84

=====

No. 3
# Nd5Dy3

A geometry-optimized Nd5Dy3 structure (PBE-GGA, Alexandria).

Results
D(E_F) (states/eV per cell): 13.0
Crystal system: orthorhombic
DFT formation energy (eV/atom): 0.02
Magnetization (μB/cell): 0.00

Unit cell a=5.1089 b=5.1439 c=10.2770 alpha=90.00 beta=90.00 gamma=90.00
Last column: nearest neighbours and their distance in Å.
Fractional coordinates of all 8 atoms:
Nd (0.0000, 0.0000, 0.0000)  8 Dy 3.61-3.62, 4 Nd 3.62
Nd (0.0000, 0.0000, 0.5000)  8 Nd 3.62-3.65, 4 Dy 3.64
Nd (0.0000, 0.5000, 0.2479)  6 Dy 3.61-3.62, 6 Nd 3.62-3.65
Nd (0.0000, 0.5000, 0.7521)  6 Dy 3.61-3.62, 6 Nd 3.62-3.65
Nd (0.5000, 0.5000, 0.5000)  8 Nd 3.62-3.64, 4 Dy 3.65
Dy (0.5000, 0.0000, 0.2479)  10 Nd 3.61-3.65, 2 Dy 3.62
Dy (0.5000, 0.0000, 0.7521)  10 Nd 3.61-3.65, 2 Dy 3.62
Dy (0.5000, 0.5000, 0.0000)  8 Nd 3.61-3.62, 4 Dy 3.62

=====

No. 4
# Nd8Dy

A geometry-optimized Nd8Dy structure (PBE-GGA, Alexandria).

Results
D(E_F) (states/eV per cell): 14.2
Crystal system: tetragonal
DFT formation energy (eV/atom): 0.01
Magnetization (μB/cell): 0.00

Unit cell a=8.1988 b=8.1988 c=8.1988 alpha=95.74 beta=95.74 gamma=143.13
Last column: nearest neighbours and their distance in Å.
Fractional coordinates of all 9 atoms:
Nd (0.0000, 0.3326, 0.3326)  1 Dy 3.66, 11 Nd 3.66-3.68
Nd (0.0000, 0.6674, 0.6674)  1 Dy 3.66, 11 Nd 3.66-3.68
Nd (0.3326, 0.0000, 0.3326)  1 Dy 3.66, 11 Nd 3.66-3.68
Nd (0.3342, 0.3342, 0.6684)  10 Nd 3.65-3.69, 2 Dy 3.66
Nd (0.3342, 0.6658, 0.0000)  10 Nd 3.65-3.69, 2 Dy 3.66
Nd (0.6658, 0.3342, 0.0000)  10 Nd 3.65-3.69, 2 Dy 3.66
Nd (0.6658, 0.6658, 0.3316)  10 Nd 3.65-3.69, 2 Dy 3.66
Nd (0.6674, 0.0000, 0.6674)  1 Dy 3.66, 11 Nd 3.66-3.68
Dy (0.0000, 0.0000, 0.0000)  12 Nd 3.66

=====

No. 5
# Nd8Dy3

A geometry-optimized Nd8Dy3 structure (PBE-GGA, Alexandria).

Results
D(E_F) (states/eV per cell): 14.7
Crystal system: triclinic
E above lowest polymorph (kcal/mol of atoms): 0.000
DFT formation energy (eV/atom): 0.15
Magnetization (μB/cell): 0.00

Unit cell a=6.1086 b=6.6492 c=10.7012 alpha=100.03 beta=100.79 gamma=112.81
Last column: nearest neighbours and their distance in Å.
Fractional coordinates of all 11 atoms:
Nd (0.0424, 0.1223, 0.1779)  2 Dy 3.21-3.46, 2 Nd 3.32-3.47
Nd (0.2686, 0.5566, 0.4673)  5 Nd 3.18-3.47, 1 Dy 3.53
Nd (0.3442, 0.4643, 0.8023)  3 Dy 3.29-3.65, 2 Nd 3.47-3.63
Nd (0.4309, 0.9229, 0.3014)  4 Nd 3.22-3.47, 2 Dy 3.43-3.51
Nd (0.5691, 0.0771, 0.6986)  4 Nd 3.22-3.47, 2 Dy 3.43-3.51
Nd (0.6558, 0.5357, 0.1977)  3 Dy 3.29-3.65, 2 Nd 3.47-3.63
Nd (0.7314, 0.4434, 0.5327)  5 Nd 3.18-3.47, 1 Dy 3.53
Nd (0.9576, 0.8777, 0.8221)  2 Dy 3.21-3.46, 2 Nd 3.32-3.47
Dy (0.0000, 0.0000, 0.5000)  12 Nd 3.51-3.89
Dy (0.0000, 0.5000, 0.0000)  6 Nd 3.29-3.63, 2 Dy 3.54
Dy (0.5000, 0.0000, 0.0000)  6 Nd 3.21-3.47, 2 Dy 3.54

=====

No. 6
# Nd2Dy5

A geometry-optimized Nd2Dy5 structure (PBE-GGA, Alexandria).

Results
D(E_F) (states/eV per cell): 24.1
Crystal system: monoclinic
DFT formation energy (eV/atom): 0.02
Magnetization (μB/cell): 0.00

Unit cell a=8.5288 b=8.5288 c=9.2723 alpha=95.23 beta=95.23 gamma=43.44
Last column: nearest neighbours and their distance in Å.
Fractional coordinates of all 14 atoms:
Nd (0.0950, 0.7597, 0.8926)  10 Dy 3.54-3.67, 2 Nd 3.58-3.67
Nd (0.2403, 0.9050, 0.6074)  10 Dy 3.54-3.67, 2 Nd 3.58-3.67
Nd (0.7597, 0.0950, 0.3926)  10 Dy 3.54-3.67, 2 Nd 3.58-3.67
Nd (0.9050, 0.2403, 0.1074)  10 Dy 3.54-3.67, 2 Nd 3.58-3.67
Dy (0.0474, 0.3810, 0.8213)  9 Dy 3.52-3.65, 3 Nd 3.54-3.64
Dy (0.1905, 0.5198, 0.5349)  8 Dy 3.50-3.67, 4 Nd 3.56-3.66
Dy (0.3353, 0.6647, 0.2500)  6 Dy 3.56-3.67, 6 Nd 3.56-3.67
Dy (0.3810, 0.0474, 0.3213)  9 Dy 3.52-3.65, 3 Nd 3.54-3.64
Dy (0.4802, 0.8095, 0.9651)  8 Dy 3.50-3.67, 4 Nd 3.56-3.66
Dy (0.5198, 0.1905, 0.0349)  8 Dy 3.50-3.67, 4 Nd 3.56-3.66
Dy (0.6190, 0.9526, 0.6787)  9 Dy 3.52-3.65, 3 Nd 3.54-3.64
Dy (0.6647, 0.3353, 0.7500)  6 Dy 3.56-3.67, 6 Nd 3.56-3.67
Dy (0.8095, 0.4802, 0.4651)  8 Dy 3.50-3.67, 4 Nd 3.56-3.66
Dy (0.9526, 0.6190, 0.1787)  9 Dy 3.52-3.65, 3 Nd 3.54-3.64

=====

Which value of D(E_F) does entry 6 give? 24.1 states/eV per cell